Computed, not measured: crystalline LiCeTm2 at its relaxed geometry at the PBE level of DFT.

Cell: 5.5100 5.5100 3.5791 Å, 90.00 90.00 90.00°
Closest atoms and distances in Å follow each position.
Atoms (fractional coordinates):
Li 0.0000 0.0000 0.0000  8 Tm 3.29, 2 Li 3.58
Ce 0.5000 0.5000 0.0000  8 Tm 3.29, 2 Ce 3.58
Tm 0.0000 0.5000 0.5000  4 Ce 3.29, 4 Li 3.29, 2 Tm 3.58
Tm 0.5000 0.0000 0.5000  4 Ce 3.29, 4 Li 3.29, 2 Tm 3.58

* final energy: -3.99 eV/atom
* crystal system: tetragonal
* calculated formation energy: 206.3 meV/atom
* space group: No. 123
* spin magnetization: 0.23 μB per cell



Computed, not measured: crystalline LiCeTm2 at its relaxed geometry at the PBE level of DFT.

Cell: 3.5549 3.5549 8.4954 Å, 90.00 90.00 90.00°
Closest atoms and distances in Å follow each position.
Atoms (fractional coordinates):
Li 0.0000 0.0000 0.0000  8 Tm 3.18, 4 Li 3.55
Ce 0.0000 0.0000 0.5000  8 Tm 3.41, 4 Ce 3.55
Tm 0.5000 0.5000 0.2286  4 Li 3.18, 4 Ce 3.41, 4 Tm 3.55
Tm 0.5000 0.5000 0.7714  4 Li 3.18, 4 Ce 3.41, 4 Tm 3.55

* final energy: -4.08 eV/atom
* crystal system: tetragonal
* calculated formation energy: 113.3 meV/atom
* space group: No. 123
* spin magnetization: 0.27 μB per cell



Number 1: energy above the lowest structure with this stoichiometry 0.372 eV/f.u., theoretical density 7.410 g cm⁻³. Number 2: energy above the lowest structure with this stoichiometry 0.000 eV/f.u., theoretical density 7.500 g cm⁻³.